# TeMo2O (PBE+U, optimized geometry)
data_TeMo2O
_cell_length_a 5.6449
_cell_length_b 5.6449
_cell_length_c 7.3451
_cell_angle_alpha 67.40
_cell_angle_beta 67.40
_cell_angle_gamma 90.00
_space_group_name_H-M_alt 'P 1'
_space_group_IT_number 1
loop_
_space_group_symop_operation_xyz
'x,y,z'
loop_
_atom_site_label
_atom_site_fract_x
_atom_site_fract_y
_atom_site_fract_z
O1 0.2500 0.7500 0.5000
O2 0.5000 0.5000 0.0000
Mo1 0.2621 0.6250 0.2500
Mo2 0.3750 0.5121 0.7500
Mo3 0.4879 0.1250 0.2500
Mo4 0.8750 0.7379 0.7500
Te1 0.0000 0.0000 0.0000
Te2 0.7500 0.2500 0.5000
# relative energy among the computed polymorphs	0	meV/atom
# uncorrected energy	-5.569	eV per atom
# symmetry	I-42d
# theoretical density	5.7	g/cm3